! Ho7Cu3Te12 PBEsol relaxed; values from VASP
! Space group: P1, No. 1
! DFT total energy in eV per atom: -5.1827
! ΔE_f (raw) in eV/atom: -1.0933
&SYSTEM
  ibrav = 0, nat = 22, ntyp = 3
/
ATOMIC_SPECIES
Ho 164.93 Ho.upf
Cu 63.55 Cu.upf
Te 127.60 Te.upf
ATOMIC_POSITIONS crystal
Ho 0.5785 0.5813 0.7450
Ho 0.3315 0.6625 0.9976
Ho 0.0902 0.7612 0.2534
Ho 0.2449 0.9052 0.7453
Ho 0.7449 0.0750 0.2536
Ho 0.9198 0.2564 0.7453
Ho 0.4211 0.4198 0.2535
Cu 0.8643 0.5279 0.5845
Cu 0.4714 0.1401 0.4235
Cu 0.8069 0.8104 0.4235
Te 0.1280 0.1428 0.3860
Te 0.8084 0.4626 0.3858
Te 0.9522 0.6249 0.8777
Te 0.7121 0.7067 0.1230
Te 0.4479 0.7824 0.3879
Te 0.8733 0.8805 0.6164
Te 0.6281 0.9620 0.8756
Te 0.3794 0.0473 0.1230
Te 0.5307 0.1972 0.6164
Te 0.2899 0.2855 0.8755
Te 0.0401 0.3752 0.1265
Te 0.2138 0.5373 0.6137
CELL_PARAMETERS angstrom
7.3465 -0.0267 0.0227
-3.6494 6.3800 -0.0071
-1.2120 -2.0988 13.7092

---

! HoTmCu2 PBEsol relaxed; values from VASP
! Space group: Fm-3m, No. 225
! DFT total energy in eV per atom: -4.8918
! ΔH_f (0 K) in meV per atom: -262.5
&SYSTEM
  ibrav = 0, nat = 4, ntyp = 3
/
ATOMIC_SPECIES
Tm 168.93 Tm.upf
Ho 164.93 Ho.upf
Cu 63.55 Cu.upf
ATOMIC_POSITIONS crystal
Tm 0.0000 0.0000 0.0000
Ho 0.5000 0.5000 0.5000
Cu 0.2500 0.2500 0.2500
Cu 0.7500 0.7500 0.7500
CELL_PARAMETERS angstrom
4.7686 0.0000 0.0000
2.3843 4.1297 0.0000
2.3843 1.3766 3.8935

---

! YHoCu2 PBEsol relaxed; values from VASP
! Space group: Fm-3m, No. 225
! DFT total energy in eV per atom: -5.3458
! ΔH_f (0 K) in meV per atom: -235.7
&SYSTEM
  ibrav = 0, nat = 4, ntyp = 3
/
ATOMIC_SPECIES
Y 88.91 Y.upf
Ho 164.93 Ho.upf
Cu 63.55 Cu.upf
ATOMIC_POSITIONS crystal
Y 0.0000 0.0000 0.0000
Ho 0.5000 0.5000 0.5000
Cu 0.7500 0.7500 0.7500
Cu 0.2500 0.2500 0.2500
CELL_PARAMETERS angstrom
-2.3347 0.8961 4.1122
-0.7493 -3.5482 3.1643
2.3857 -0.0404 4.1798

---

! In3CuI PBEsol relaxed; values from VASP
! Space group: Pm-3m, No. 221
! DFT total energy in eV per atom: -3.0719
! ΔE_f (raw) in eV/atom: -0.0620
&SYSTEM
  ibrav = 0, nat = 5, ntyp = 3
/
ATOMIC_SPECIES
I 126.90 I.upf
Cu 63.55 Cu.upf
In 114.82 In.upf
ATOMIC_POSITIONS crystal
I 0.5000 0.5000 0.5000
Cu 0.0000 0.0000 0.0000
In 0.0000 0.5000 0.0000
In 0.0000 0.0000 0.5000
In 0.5000 0.0000 0.0000
CELL_PARAMETERS angstrom
5.1290 0.0000 0.0000
0.0000 5.1290 0.0000
0.0000 0.0000 5.1290

---

! InCuI3 PBEsol relaxed; values from VASP
! Space group: Pm-3m, No. 221
! DFT total energy in eV per atom: -2.1484
! ΔE_f (raw) in eV/atom: 0.3751
&SYSTEM
  ibrav = 0, nat = 5, ntyp = 3
/
ATOMIC_SPECIES
I 126.90 I.upf
Cu 63.55 Cu.upf
In 114.82 In.upf
ATOMIC_POSITIONS crystal
I 0.0000 0.5000 0.0000
I 0.0000 0.0000 0.5000
I 0.5000 0.0000 0.0000
Cu 0.5000 0.5000 0.5000
In 0.0000 0.0000 0.0000
CELL_PARAMETERS angstrom
5.7772 0.0000 0.0000
0.0000 5.7772 0.0000
0.0000 0.0000 5.7772

---

! InCuTeI2 PBEsol relaxed; values from VASP
! Space group: P4/mmm, No. 123
! DFT total energy in eV per atom: -2.2775
! ΔE_f (raw) in eV/atom: 0.5978
&SYSTEM
  ibrav = 0, nat = 5, ntyp = 4
/
ATOMIC_SPECIES
I 126.90 I.upf
Te 127.60 Te.upf
Cu 63.55 Cu.upf
In 114.82 In.upf
ATOMIC_POSITIONS crystal
I 0.0000 0.0000 0.5000
I 0.0000 0.5000 0.0000
Te 0.5000 0.0000 0.0000
Cu 0.5000 0.5000 0.5000
In 0.0000 0.0000 0.0000
CELL_PARAMETERS angstrom
5.6668 0.0000 0.0000
0.0000 5.7283 0.0000
0.0000 0.0000 5.7283

---

! CuIrIN2 PBEsol relaxed; values from VASP
! Space group: P4/mmm, No. 123
! DFT total energy in eV per atom: -4.6437
! ΔE_f (raw) in eV/atom: 1.9518
&SYSTEM
  ibrav = 0, nat = 5, ntyp = 4
/
ATOMIC_SPECIES
I 126.90 I.upf
Ir 192.22 Ir.upf
Cu 63.55 Cu.upf
N 14.01 N.upf
ATOMIC_POSITIONS crystal
I 0.0000 0.0000 0.5000
Ir 0.5000 0.5000 0.5000
Cu 0.0000 0.0000 0.0000
N 0.0000 0.5000 0.0000
N 0.5000 0.0000 0.0000
CELL_PARAMETERS angstrom
-2.8098 -2.4003 0.2892
0.1111 -0.5711 -3.6608
3.8688 -4.4314 0.8087

---

! CuTeIrI2 PBEsol relaxed; values from VASP
! Space group: P4/mmm, No. 123
! DFT total energy in eV per atom: -2.9440
! ΔE_f (raw) in eV/atom: 1.2995
&SYSTEM
  ibrav = 0, nat = 5, ntyp = 4
/
ATOMIC_SPECIES
I 126.90 I.upf
Ir 192.22 Ir.upf
Te 127.60 Te.upf
Cu 63.55 Cu.upf
ATOMIC_POSITIONS crystal
I 0.0000 0.5000 0.0000
I 0.5000 0.0000 0.0000
Ir 0.5000 0.5000 0.5000
Te 0.0000 0.0000 0.5000
Cu 0.0000 0.0000 0.0000
CELL_PARAMETERS angstrom
-4.4863 0.8860 2.0958
0.7297 -3.8285 3.1803
2.1619 3.1500 3.2960

---

! K3CuI PBEsol relaxed; values from VASP
! Space group: Pm-3m, No. 221
! DFT total energy in eV per atom: -1.9453
! ΔE_f (raw) in eV/atom: -0.0451
&SYSTEM
  ibrav = 0, nat = 5, ntyp = 3
/
ATOMIC_SPECIES
I 126.90 I.upf
K 39.10 K.upf
Cu 63.55 Cu.upf
ATOMIC_POSITIONS crystal
I 0.0000 0.0000 0.0000
K 0.0000 0.5000 0.0000
K 0.0000 0.0000 0.5000
K 0.5000 0.0000 0.0000
Cu 0.5000 0.5000 0.5000
CELL_PARAMETERS angstrom
-0.4269 5.4361 3.5899
3.2052 -2.9567 4.8585
5.6714 2.0802 -2.4756

---

! KMgCu2I PBEsol relaxed; values from VASP
! Space group: P4/mmm, No. 123
! DFT total energy in eV per atom: -1.3779
! ΔE_f (raw) in eV/atom: 1.2792
&SYSTEM
  ibrav = 0, nat = 5, ntyp = 4
/
ATOMIC_SPECIES
I 126.90 I.upf
K 39.10 K.upf
Mg 24.30 Mg.upf
Cu 63.55 Cu.upf
ATOMIC_POSITIONS crystal
I 0.5000 0.5000 0.5000
K 0.0000 0.0000 0.0000
Mg 0.0000 0.0000 0.5000
Cu 0.0000 0.5000 0.0000
Cu 0.5000 0.0000 0.0000
CELL_PARAMETERS angstrom
-4.1784 2.9269 -0.1925
-1.1305 -1.2978 4.8063
3.4662 5.0922 2.1903

---

! KCuIN2 PBEsol relaxed; values from VASP
! Space group: P4/mmm, No. 123
! DFT total energy in eV per atom: -3.7184
! ΔE_f (raw) in eV/atom: 1.1391
&SYSTEM
  ibrav = 0, nat = 5, ntyp = 4
/
ATOMIC_SPECIES
I 126.90 I.upf
K 39.10 K.upf
Cu 63.55 Cu.upf
N 14.01 N.upf
ATOMIC_POSITIONS crystal
I 0.0000 0.0000 0.5000
K 0.5000 0.5000 0.5000
Cu 0.0000 0.0000 0.0000
N 0.0000 0.5000 0.0000
N 0.5000 0.0000 0.0000
CELL_PARAMETERS angstrom
-0.9962 -3.6266 -1.9511
4.0662 -1.1841 0.1249
-0.8574 -2.4231 4.9418

---

! K2CuSbI6 PBEsol relaxed; values from VASP
! Space group: Fm-3m, No. 225
! DFT total energy in eV per atom: -2.8457
! ΔE_f (raw) in eV/atom: -0.6697
&SYSTEM
  ibrav = 0, nat = 10, ntyp = 4
/
ATOMIC_SPECIES
K 39.10 K.upf
Cu 63.55 Cu.upf
Sb 121.76 Sb.upf
I 126.90 I.upf
ATOMIC_POSITIONS crystal
K 0.7500 0.7500 0.7500
K 0.2500 0.2500 0.2500
Cu 0.5000 0.5000 0.5000
Sb 0.0000 0.0000 0.0000
I 0.7400 0.2600 0.2600
I 0.7400 0.7400 0.2600
I 0.2600 0.7400 0.7400
I 0.7400 0.2600 0.7400
I 0.2600 0.7400 0.2600
I 0.2600 0.2600 0.7400
CELL_PARAMETERS angstrom
-1.3844 7.6737 2.2776
-0.7400 1.8273 7.8805
5.8274 4.2376 3.7515

---

! K2CuSnI PBEsol relaxed; values from VASP
! Space group: P4/mmm, No. 123
! DFT total energy in eV per atom: -2.3521
! ΔE_f (raw) in eV/atom: 0.1732
&SYSTEM
  ibrav = 0, nat = 5, ntyp = 4
/
ATOMIC_SPECIES
I 126.90 I.upf
K 39.10 K.upf
Sn 118.71 Sn.upf
Cu 63.55 Cu.upf
ATOMIC_POSITIONS crystal
I 0.0000 0.0000 0.0000
K 0.0000 0.0000 0.5000
K 0.0000 0.5000 0.0000
Sn 0.5000 0.5000 0.5000
Cu 0.5000 0.0000 0.0000
CELL_PARAMETERS angstrom
-2.5589 -3.2857 -2.6278
5.5321 -2.2531 -2.5699
0.5124 -4.2876 4.8621

---

! KCuTeI2 PBEsol relaxed; values from VASP
! Space group: P4/mmm, No. 123
! DFT total energy in eV per atom: -1.7148
! ΔE_f (raw) in eV/atom: 0.7906
&SYSTEM
  ibrav = 0, nat = 5, ntyp = 4
/
ATOMIC_SPECIES
I 126.90 I.upf
K 39.10 K.upf
Te 127.60 Te.upf
Cu 63.55 Cu.upf
ATOMIC_POSITIONS crystal
I 0.0000 0.0000 0.5000
I 0.0000 0.5000 0.0000
K 0.0000 0.0000 0.0000
Te 0.5000 0.0000 0.0000
Cu 0.5000 0.5000 0.5000
CELL_PARAMETERS angstrom
6.1791 0.0000 0.0000
0.0000 6.2387 0.0000
0.0000 0.0000 6.2387

---

! KCuTe2I PBEsol relaxed; values from VASP
! Space group: P4/mmm, No. 123
! DFT total energy in eV per atom: -1.7606
! ΔE_f (raw) in eV/atom: 1.0967
&SYSTEM
  ibrav = 0, nat = 5, ntyp = 4
/
ATOMIC_SPECIES
I 126.90 I.upf
K 39.10 K.upf
Te 127.60 Te.upf
Cu 63.55 Cu.upf
ATOMIC_POSITIONS crystal
I 0.5000 0.0000 0.0000
K 0.0000 0.0000 0.0000
Te 0.0000 0.0000 0.5000
Te 0.0000 0.5000 0.0000
Cu 0.5000 0.5000 0.5000
CELL_PARAMETERS angstrom
-4.8960 -0.8547 3.4794
-1.4073 -4.8325 -3.1674
3.2177 -3.3632 3.7015

---

! LaCu3I PBEsol relaxed; values from VASP
! Space group: Pm-3m, No. 221
! DFT total energy in eV per atom: -3.2985
! ΔE_f (raw) in eV/atom: 0.7246
&SYSTEM
  ibrav = 0, nat = 5, ntyp = 3
/
ATOMIC_SPECIES
I 126.90 I.upf
Cu 63.55 Cu.upf
La 138.91 La.upf
ATOMIC_POSITIONS crystal
I 0.0000 0.0000 0.0000
Cu 0.0000 0.5000 0.0000
Cu 0.0000 0.0000 0.5000
Cu 0.5000 0.0000 0.0000
La 0.5000 0.5000 0.5000
CELL_PARAMETERS angstrom
-3.0416 -3.3356 1.8557
3.5716 -1.6497 2.8885
-1.3469 3.1580 3.4690

---

! La2CuPdI PBEsol relaxed; values from VASP
! Space group: P4/mmm, No. 123
! DFT total energy in eV per atom: -4.1841
! Energy relative to the lowest polymorph listed for this composition in meV per atom: 231.0
! ΔE_f (raw) in eV/atom: 0.3663
&SYSTEM
  ibrav = 0, nat = 5, ntyp = 4
/
ATOMIC_SPECIES
I 126.90 I.upf
Cu 63.55 Cu.upf
Pd 106.42 Pd.upf
La 138.91 La.upf
ATOMIC_POSITIONS crystal
I 0.0000 0.0000 0.0000
Cu 0.5000 0.0000 0.0000
Pd 0.5000 0.5000 0.5000
La 0.0000 0.0000 0.5000
La 0.0000 0.5000 0.0000
CELL_PARAMETERS angstrom
4.6068 0.0000 0.0000
0.0000 5.8326 0.0000
0.0000 0.0000 5.8326

---

! La2CuPdI PBEsol relaxed; values from VASP
! Space group: P4/mmm, No. 123
! DFT total energy in eV per atom: -4.4151
! Energy relative to the lowest polymorph listed for this composition in meV per atom: 0.0
! ΔE_f (raw) in eV/atom: 0.1354
&SYSTEM
  ibrav = 0, nat = 5, ntyp = 4
/
ATOMIC_SPECIES
I 126.90 I.upf
Cu 63.55 Cu.upf
Pd 106.42 Pd.upf
La 138.91 La.upf
ATOMIC_POSITIONS crystal
I 0.5000 0.0000 0.0000
Cu 0.0000 0.0000 0.0000
Pd 0.5000 0.5000 0.5000
La 0.0000 0.0000 0.5000
La 0.0000 0.5000 0.0000
CELL_PARAMETERS angstrom
-2.6125 1.5191 -3.7756
-4.4147 0.2808 3.1677
1.2142 5.1579 1.2350

---

! LaTlCuI2 PBEsol relaxed; values from VASP
! Space group: P4/mmm, No. 123
! DFT total energy in eV per atom: -3.3532
! ΔE_f (raw) in eV/atom: -0.1843
&SYSTEM
  ibrav = 0, nat = 5, ntyp = 4
/
ATOMIC_SPECIES
I 126.90 I.upf
Tl 204.38 Tl.upf
Cu 63.55 Cu.upf
La 138.91 La.upf
ATOMIC_POSITIONS crystal
I 0.0000 0.0000 0.5000
I 0.0000 0.5000 0.0000
Tl 0.5000 0.5000 0.5000
Cu 0.5000 0.0000 0.0000
La 0.0000 0.0000 0.0000
CELL_PARAMETERS angstrom
5.2955 0.0000 0.0000
0.0000 6.1525 0.0000
0.0000 0.0000 6.1525

---

! Li2CuI PBEsol relaxed; values from VASP
! Space group: Fm-3m, No. 225
! DFT total energy in eV per atom: -2.6506
! ΔE_f (raw) in eV/atom: -0.1420
&SYSTEM
  ibrav = 0, nat = 4, ntyp = 3
/
ATOMIC_SPECIES
I 126.90 I.upf
Cu 63.55 Cu.upf
Li 6.94 Li.upf
ATOMIC_POSITIONS crystal
I 0.5000 0.5000 0.5000
Cu 0.0000 0.0000 0.0000
Li 0.2500 0.2500 0.2500
Li 0.7500 0.7500 0.7500
CELL_PARAMETERS angstrom
-0.1781 -3.6573 -3.1063
2.2720 -4.1106 0.9983
-2.5260 -3.9401 1.0727

---

! LiCuI2N PBEsol relaxed; values from VASP
! Space group: P4/mmm, No. 123
! DFT total energy in eV per atom: -2.8130
! ΔE_f (raw) in eV/atom: 0.8592
&SYSTEM
  ibrav = 0, nat = 5, ntyp = 4
/
ATOMIC_SPECIES
I 126.90 I.upf
Li 6.94 Li.upf
Cu 63.55 Cu.upf
N 14.01 N.upf
ATOMIC_POSITIONS crystal
I 0.0000 0.0000 0.5000
I 0.0000 0.5000 0.0000
Li 0.0000 0.0000 0.0000
Cu 0.5000 0.5000 0.5000
N 0.5000 0.0000 0.0000
CELL_PARAMETERS angstrom
3.8057 0.0000 0.0000
0.0000 5.3328 0.0000
0.0000 0.0000 5.3328

---

! NaLiCuI2 PBEsol relaxed; values from VASP
! Space group: P4/mmm, No. 123
! DFT total energy in eV per atom: -2.4988
! ΔE_f (raw) in eV/atom: -0.2520
&SYSTEM
  ibrav = 0, nat = 5, ntyp = 4
/
ATOMIC_SPECIES
I 126.90 I.upf
Na 22.99 Na.upf
Cu 63.55 Cu.upf
Li 6.94 Li.upf
ATOMIC_POSITIONS crystal
I 0.0000 0.0000 0.5000
I 0.0000 0.5000 0.0000
Na 0.5000 0.5000 0.5000
Cu 0.5000 0.0000 0.0000
Li 0.0000 0.0000 0.0000
CELL_PARAMETERS angstrom
4.5299 0.0000 0.0000
0.0000 5.4738 0.0000
0.0000 0.0000 5.4738

---

! LiCuSbI2 PBEsol relaxed; values from VASP
! Space group: P4/mmm, No. 123
! DFT total energy in eV per atom: -2.8314
! ΔE_f (raw) in eV/atom: 0.0469
&SYSTEM
  ibrav = 0, nat = 5, ntyp = 4
/
ATOMIC_SPECIES
I 126.90 I.upf
Sb 121.76 Sb.upf
Cu 63.55 Cu.upf
Li 6.94 Li.upf
ATOMIC_POSITIONS crystal
I 0.0000 0.0000 0.5000
I 0.0000 0.5000 0.0000
Sb 0.5000 0.0000 0.0000
Cu 0.0000 0.0000 0.0000
Li 0.5000 0.5000 0.5000
CELL_PARAMETERS angstrom
4.8521 0.0000 0.0000
0.0000 5.6113 0.0000
0.0000 0.0000 5.6113

---

! MgCuI2 PBEsol relaxed; values from VASP
! Space group: Fm-3m, No. 225
! DFT total energy in eV per atom: -2.3601
! ΔE_f (raw) in eV/atom: 0.0361
&SYSTEM
  ibrav = 0, nat = 4, ntyp = 3
/
ATOMIC_SPECIES
I 126.90 I.upf
Mg 24.30 Mg.upf
Cu 63.55 Cu.upf
ATOMIC_POSITIONS crystal
I 0.2500 0.2500 0.2500
I 0.7500 0.7500 0.7500
Mg 0.0000 0.0000 0.0000
Cu 0.5000 0.5000 0.5000
CELL_PARAMETERS angstrom
5.1440 0.0000 0.0000
2.5720 4.4549 0.0000
2.5720 1.4850 4.2001

---

! MgTa2CuI PBEsol relaxed; values from VASP
! Space group: P4/mmm, No. 123
! DFT total energy in eV per atom: -4.8469
! ΔE_f (raw) in eV/atom: 1.7371
&SYSTEM
  ibrav = 0, nat = 5, ntyp = 4
/
ATOMIC_SPECIES
I 126.90 I.upf
Mg 24.30 Mg.upf
Cu 63.55 Cu.upf
Ta 180.95 Ta.upf
ATOMIC_POSITIONS crystal
I 0.0000 0.0000 0.0000
Mg 0.5000 0.5000 0.5000
Cu 0.5000 0.0000 0.0000
Ta 0.0000 0.0000 0.5000
Ta 0.0000 0.5000 0.0000
CELL_PARAMETERS angstrom
-4.5851 -1.0126 -0.0697
0.9447 -4.0911 -2.7116
0.5240 -2.6616 4.1981

---

! MgTlCu2I PBEsol relaxed; values from VASP
! Space group: P4/mmm, No. 123
! DFT total energy in eV per atom: -2.4000
! ΔE_f (raw) in eV/atom: 0.5565
&SYSTEM
  ibrav = 0, nat = 5, ntyp = 4
/
ATOMIC_SPECIES
I 126.90 I.upf
Tl 204.38 Tl.upf
Mg 24.30 Mg.upf
Cu 63.55 Cu.upf
ATOMIC_POSITIONS crystal
I 0.0000 0.0000 0.5000
Tl 0.5000 0.5000 0.5000
Mg 0.0000 0.0000 0.0000
Cu 0.0000 0.5000 0.0000
Cu 0.5000 0.0000 0.0000
CELL_PARAMETERS angstrom
-1.4458 -1.6715 4.3559
-3.7830 -2.2490 -2.1187
3.2112 -4.7049 -0.7396

---

! MnCuIN2 PBEsol relaxed; values from VASP
! Space group: P4/mmm, No. 123
! DFT total energy in eV per atom: -5.9133
! ΔE_f (raw) in eV/atom: 0.6698
&SYSTEM
  ibrav = 0, nat = 5, ntyp = 4
/
ATOMIC_SPECIES
I 126.90 I.upf
Mn 54.94 Mn.upf
Cu 63.55 Cu.upf
N 14.01 N.upf
ATOMIC_POSITIONS crystal
I 0.0000 0.0000 0.5000
Mn 0.0000 0.0000 0.0000
Cu 0.5000 0.5000 0.5000
N 0.0000 0.5000 0.0000
N 0.5000 0.0000 0.0000
CELL_PARAMETERS angstrom
-2.1918 0.3741 -2.8368
-1.7456 -3.0062 0.9523
-3.5062 3.0202 3.1074

---

! CuMoI2O PBEsol relaxed; values from VASP
! Space group: P4/mmm, No. 123
! DFT total energy in eV per atom: -5.0410
! ΔE_f (raw) in eV/atom: -0.0640
&SYSTEM
  ibrav = 0, nat = 5, ntyp = 4
/
ATOMIC_SPECIES
I 126.90 I.upf
Mo 95.94 Mo.upf
O 16.00 O.upf
Cu 63.55 Cu.upf
ATOMIC_POSITIONS crystal
I 0.0000 0.0000 0.5000
I 0.0000 0.5000 0.0000
Mo 0.0000 0.0000 0.0000
O 0.5000 0.0000 0.0000
Cu 0.5000 0.5000 0.5000
CELL_PARAMETERS angstrom
-1.3515 -1.8407 2.9534
5.0108 -0.3412 2.0804
-0.7558 4.7172 2.5941

---

Total moment per entry: 0.00 0.00 0.00 0.00 0.00 0.00 0.72 0.35 0.00 0.00 0.81 0.00 0.31 0.41 0.25 0.00 0.00 0.00 0.00 0.00 0.58 0.00 0.00 0.00 0.00 0.00 0.01 0.00 μB/atom